Here is a relaxed structure of TmZr3Ir4 from the Alexandria database. Energies are from GGA-PBE.

Cell and atoms, written as POSCAR:
```
TmZr3Ir4
1.0
9.682 0.000 0.000
0.000 6.271 0.000
0.000 0.000 4.843
Tm Zr Ir
2 6 8
Cartesian
0.000 0.000 0.000 Tm
4.841 0.000 0.000 Tm
0.000 3.136 0.000 Zr
2.420 0.000 2.329 Zr
2.420 3.136 2.320 Zr
4.841 3.136 0.000 Zr
7.261 0.000 2.514 Zr
7.261 3.136 2.522 Zr
0.000 1.605 2.421 Ir
0.000 4.666 2.421 Ir
2.420 1.603 4.714 Ir
2.420 4.668 4.714 Ir
4.841 1.605 2.421 Ir
4.841 4.666 2.421 Ir
7.261 1.603 0.129 Ir
7.261 4.668 0.129 Ir
```

theoretical density	13.684	g/cm³
energy of formation from the pure elements	-0.81	eV/atom
symmetry	Pmma (51)

=====

Here is a relaxed structure of Ti5AlNi from the Alexandria database. Energies are from GGA-PBE.

Cell and atoms, written as POSCAR:
```
Ti5AlNi
1.0
3.483 -3.432 0.000
3.483 3.432 0.000
-2.482 0.000 9.477
Ti Al Ni
10 2 2
Cartesian
1.622 3.332 7.108 Ti
0.338 1.284 5.968 Ti
0.195 0.948 8.856 Ti
1.579 -1.284 1.230 Ti
1.436 -0.948 4.118 Ti
3.049 0.948 5.359 Ti
2.905 1.284 8.247 Ti
4.290 -0.948 0.621 Ti
4.146 -1.284 3.509 Ti
2.863 -3.332 2.369 Ti
2.863 0.827 2.369 Al
1.622 -0.827 7.108 Al
0.000 0.000 0.000 Ni
-1.241 0.000 4.738 Ni
```

theoretical density	4.763	g/cm³
energy of formation from the pure elements	-0.10	eV/atom
symmetry	C2/c (15)

=====

Here is a relaxed structure of AcGdRh2 from the Alexandria database. Energies are from GGA-PBE.

Cell and atoms, written as POSCAR:
```
AcGdRh2
1.0
2.281 1.317 5.469
-2.281 1.317 5.469
0.000 -2.633 5.469
Ac Gd Rh
1 1 2
Cartesian
0.000 0.000 0.000 Ac
0.000 0.000 8.204 Gd
0.000 0.000 3.656 Rh
0.000 0.000 12.753 Rh
```

energy above the lowest structure with this stoichiometry	8	meV/atom
theoretical density	9.943	g/cm³
energy of formation from the pure elements	-0.62	eV/atom
symmetry	R-3m (166)

=====

Here is a relaxed structure of Nb3AlSn from the Alexandria database. Energies are from GGA-PBE.

Cell and atoms, written as POSCAR:
```
Nb3AlSn
1.0
5.020 0.000 0.000
0.000 5.020 0.000
0.000 0.000 5.020
Nb Al Sn
3 1 1
Cartesian
0.000 0.000 2.510 Nb
0.000 2.510 0.000 Nb
2.510 0.000 0.000 Nb
2.510 2.510 2.510 Al
0.000 0.000 0.000 Sn
```

energy above the lowest structure with this stoichiometry	1563	meV/atom
theoretical density	5.570	g/cm³
energy of formation from the pure elements	1.58	eV/atom
symmetry	Pm-3m (221)

=====

Here is a relaxed structure of Sc2SnS from the Alexandria database. Energies are from GGA-PBE.

Cell and atoms, written as POSCAR:
```
Sc2SnS
1.0
2.237 1.291 7.473
-2.237 1.291 7.473
0.000 -2.583 7.473
Sc Sn S
2 1 1
Cartesian
0.000 0.000 2.338 Sc
0.000 0.000 20.080 Sc
0.000 0.000 11.209 Sn
0.000 0.000 0.000 S
```

energy above the lowest structure with this stoichiometry	571	meV/atom
theoretical density	3.087	g/cm³
raw formation energy	-0.67	eV/atom
symmetry	R-3m (166)

=====

Here is a relaxed structure of ReNi2W from the Alexandria database. Energies are from GGA-PBE.

Cell and atoms, written as POSCAR:
```
ReNi2W
1.0
2.621 0.000 0.000
0.000 2.621 0.000
0.000 0.000 7.707
Re Ni W
1 2 1
Cartesian
0.000 0.000 0.000 Re
1.310 1.310 1.894 Ni
1.310 1.310 5.813 Ni
0.000 0.000 3.854 W
```

theoretical density	15.288	g/cm³
energy of formation from the pure elements	0.09	eV/atom
symmetry	P4/mmm (123)